A plane-wave DFT calculation with GGA-PBE was carried out for crystalline Zn2CdHg at its relaxed geometry.

Results
ΔH_f (0 K)   7.4 kJ per mole of atoms
Excess energy over the best structure of this formula in the dataset   0.0 meV per atom
Total magnetization   0.0000 μB/atom
DOS at the Fermi energy   0.659 states/eV/cell

The structure in POSCAR format:
```
Zn2CdHg
1.0
4.5377 -1.8020 0.0000
4.5377 1.8020 0.0000
-0.9659 0.0000 4.8641
Zn Cd Hg
2 1 1
Cartesian
0.0000 0.0000 0.0000 Zn
6.5114 0.0000 1.0468 Zn
1.5416 0.0000 3.6794 Cd
4.0160 0.0000 2.2450 Hg
```

A plane-wave DFT calculation with GGA-PBE was carried out for crystalline ZnCd2Hg at its relaxed geometry.

Results
ΔH_f (0 K)   6.7 kJ per mole of atoms
Excess energy over the best structure of this formula in the dataset   17.4 meV per atom
Total magnetization   0.0000 μB/atom
DOS at the Fermi energy   0.962 states/eV/cell

The structure in POSCAR format:
```
ZnCd2Hg
1.0
2.8422 -5.4450 0.0000
2.8422 5.4450 0.0000
-1.5771 0.0000 2.8516
Zn Cd Hg
1 2 1
Cartesian
0.0000 0.0000 0.0000 Zn
1.4211 2.7225 0.0000 Cd
1.4211 -2.7225 0.0000 Cd
2.8422 0.0000 0.0000 Hg
```

A plane-wave DFT calculation with GGA-PBE was carried out for crystalline ZnCd2Hg6 at its relaxed geometry.

Results
ΔH_f (0 K)   4.9 kJ per mole of atoms
Excess energy over the best structure of this formula in the dataset   0.0 meV per atom
Total magnetization   0.0000 μB/atom
DOS at the Fermi energy   1.856 states/eV/cell

The structure in POSCAR format:
```
ZnCd2Hg6
1.0
7.9557 -1.6039 0.0000
7.9557 1.6039 0.0000
-3.1420 0.0000 8.8192
Zn Cd Hg
1 2 6
Cartesian
0.0000 0.0000 0.0000 Zn
2.2116 0.0000 5.7516 Cd
10.5579 0.0000 3.0676 Cd
-0.0512 0.0000 2.8016 Hg
2.2783 0.0000 8.7690 Hg
5.2132 0.0000 3.0278 Hg
7.5562 0.0000 5.7915 Hg
10.4912 0.0000 0.0502 Hg
12.8207 0.0000 6.0176 Hg
```

A plane-wave DFT calculation with GGA-PBE was carried out for crystalline Zn2CdHg at its relaxed geometry.

Results
ΔH_f (0 K)   15.7 kJ per mole of atoms
Excess energy over the best structure of this formula in the dataset   86.1 meV per atom
Total magnetization   0.0000 μB/atom
DOS at the Fermi energy   2.957 states/eV/cell

The structure in POSCAR format:
```
Zn2CdHg
1.0
0.0000 3.4191 3.4191
3.4191 0.0000 3.4191
3.4191 3.4191 0.0000
Zn Cd Hg
2 1 1
Cartesian
0.0000 0.0000 0.0000 Zn
1.7096 1.7096 1.7096 Zn
3.4191 3.4191 3.4191 Cd
5.1287 5.1287 5.1287 Hg
```

A plane-wave DFT calculation with GGA-PBE was carried out for crystalline ZnCd2Hg6 at its relaxed geometry.

Results
ΔH_f (0 K)   6.3 kJ per mole of atoms
Excess energy over the best structure of this formula in the dataset   14.5 meV per atom
Total magnetization   0.0000 μB/atom
DOS at the Fermi energy   2.423 states/eV/cell

The structure in POSCAR format:
```
ZnCd2Hg6
1.0
7.7610 -1.7273 0.0000
7.7610 1.7273 0.0000
-6.2906 0.0000 8.3962
Zn Cd Hg
1 2 6
Cartesian
0.0000 0.0000 0.0000 Zn
-1.6746 0.0000 4.4838 Cd
10.9059 0.0000 3.9124 Cd
-3.7333 0.0000 6.8881 Hg
2.4774 0.0000 1.4577 Hg
1.4227 0.0000 5.7688 Hg
7.8087 0.0000 2.6273 Hg
6.7539 0.0000 6.9384 Hg
12.9646 0.0000 1.5081 Hg
```

A plane-wave DFT calculation with GGA-PBE was carried out for crystalline ZnCdHg2 at its relaxed geometry.

Results
ΔH_f (0 K)   7.3 kJ per mole of atoms
Excess energy over the best structure of this formula in the dataset   12.4 meV per atom
Total magnetization   0.0000 μB/atom
DOS at the Fermi energy   0.806 states/eV/cell

The structure in POSCAR format:
```
ZnCdHg2
1.0
4.0515 0.0000 0.0000
0.0000 4.1200 0.0000
-1.4664 0.0000 5.6132
Zn Cd Hg
1 1 2
Cartesian
0.0000 0.0000 0.0000 Zn
0.8450 2.0600 1.8451 Cd
0.7391 2.0600 4.8362 Hg
2.8723 0.0000 2.8308 Hg
```

A plane-wave DFT calculation with GGA-PBE was carried out for crystalline ZnCd2Hg4 at its relaxed geometry.

Results
ΔH_f (0 K)   10.8 kJ per mole of atoms
Excess energy over the best structure of this formula in the dataset   40.4 meV per atom
Total magnetization   0.0000 μB/atom
DOS at the Fermi energy   2.545 states/eV/cell

The structure in POSCAR format:
```
ZnCd2Hg4
1.0
-2.6867 2.6867 7.0853
2.6867 -2.6867 7.0853
2.6867 2.6867 -7.0853
Zn Cd Hg
1 2 4
Cartesian
0.0000 0.0000 0.0000 Zn
0.0000 0.0000 5.5181 Cd
0.0000 0.0000 8.6525 Cd
2.6867 0.0000 0.0000 Hg
0.0000 0.0000 2.6952 Hg
0.0000 2.6867 0.0000 Hg
0.0000 0.0000 11.4753 Hg
```

A plane-wave DFT calculation with GGA-PBE was carried out for crystalline Zn2CdHg at its relaxed geometry.

Results
ΔH_f (0 K)   12.6 kJ per mole of atoms
Excess energy over the best structure of this formula in the dataset   53.4 meV per atom
Total magnetization   0.0000 μB/atom
DOS at the Fermi energy   2.943 states/eV/cell

The structure in POSCAR format:
```
Zn2CdHg
1.0
-2.1274 2.1274 9.4180
2.1274 -2.1274 9.4180
2.1274 2.1274 -9.4180
Zn Cd Hg
4 2 2
Cartesian
3.1911 1.0328 -2.3545 Zn
1.0328 1.0637 2.3545 Zn
-1.0637 1.0946 7.0635 Zn
1.0946 1.0637 11.7725 Zn
0.0000 0.0000 0.0000 Cd
0.0000 2.1274 4.7090 Cd
2.1274 0.0000 4.7090 Hg
0.0000 0.0000 9.4180 Hg
```